(1)
# Li3SiCl

An optimized crystal structure of Li3SiCl (PBE, Alexandria via LeMat-Bulk).

a = 4.5243 Å, b = 4.5243 Å, c = 4.5243 Å
α = 90.00°, β = 90.00°, γ = 90.00°
Sites, in units of the cell vectors:
1 Li 0.5000 0.0000 0.0000
2 Li 0.0000 0.0000 0.5000
3 Li 0.0000 0.5000 0.0000
4 Si 0.5000 0.5000 0.5000
5 Cl 0.0000 0.0000 0.0000

Results
- Space-group type: No. 221
- Formation energy (no corrections): -0.4362 eV per atom
- Volume: 92.61 Å³ per cell

***

(2)
# CsBaHg2

An optimized crystal structure of CsBaHg2 (PBE, Alexandria via LeMat-Bulk).

a = 6.1482 Å, b = 6.1482 Å, c = 6.1482 Å
α = 60.00°, β = 60.00°, γ = 60.00°
Sites, in units of the cell vectors:
1 Ba 0.5000 0.5000 0.5000
2 Hg 0.7500 0.7500 0.7500
3 Hg 0.2500 0.2500 0.2500
4 Cs 0.0000 0.0000 0.0000

Results
- Space-group type: No. 225
- Volume: 164.33 Å³ per cell

***

Number 1: final energy -0.1117 hartree per atom. Number 2: final energy -0.0409 hartree per atom.